Record 1
## ZnW (PBE)

Data for a geometry-optimized ZnW structure.

```
10
Lattice="2.3816 4.1259 0.0000 -5.0640 5.6749 0.0000 0.0000 0.0000 4.4788" Properties=species:S:1:pos:R:3 pbc="T T T"
W -0.1801 5.5650 0.0000
W -2.5977 6.9608 0.0000
W -0.9941 4.2660 2.2394
W -2.5361 4.2751 0.0000
W -3.3149 5.6057 2.2394
Zn 2.3434 4.1013 0.0000
Zn 1.5711 2.7922 2.2394
Zn -0.9745 6.9806 2.2394
Zn -0.8091 1.4169 2.2394
Zn -0.0624 2.7401 0.0000
```

Properties
ρ   13.43 g/cm3
Final energy   -67.77 eV for the cell shown
ΔE to the lowest computed polymorph   0.113 eV per atom
DFT formation energy   335 meV/atom
Calculated volume   15.41 A^3/atom

Record 2
## RbLaTe3Au (PBE)

Data for a geometry-optimized RbLaTe3Au structure.

```
12
Lattice="2.2146 -8.3937 0.0000 2.2146 8.3937 0.0000 0.0000 0.0000 11.7590" Properties=species:S:1:pos:R:3 pbc="T T T"
La 2.2146 0.0000 5.8795
La 2.2146 0.0000 0.0000
Te 2.2146 6.1668 0.7280
Te 2.2146 1.2256 2.9397
Te 2.2146 6.1668 5.1515
Te 2.2146 -6.1668 11.0310
Te 2.2146 -1.2256 8.8192
Te 2.2146 -6.1668 6.6075
Au 2.2146 7.8462 2.9397
Au 2.2146 -7.8462 8.8192
Rb 2.2146 -4.1850 2.9397
Rb 2.2146 4.1850 8.8192
```

Properties
ρ   6.11 g/cm3
Final energy   -48.82 eV for the cell shown
Calculated volume   36.43 A^3/atom

Record 3
## PrZn2Pt2 (PBE)

Data for a geometry-optimized PrZn2Pt2 structure.

```
5
Lattice="-2.0211 2.0211 5.9792 2.0211 -2.0211 5.9792 2.0211 2.0211 -5.9792" Properties=species:S:1:pos:R:3 pbc="T T T"
Zn 0.0000 2.0211 2.9896
Zn 2.0211 0.0000 2.9896
Pr 0.0000 0.0000 0.0000
Pt 0.0000 0.0000 4.6269
Pt 0.0000 0.0000 7.3314
```

Properties
ρ   11.25 g/cm3
Final energy   -23.36 eV for the cell shown
ΔE to the lowest computed polymorph   0.000 eV per atom
DFT formation energy   -789 meV/atom
Calculated volume   19.54 A^3/atom

Record 4
## Ba2TcBiS6 (PBE)

Data for a geometry-optimized Ba2TcBiS6 structure.

```
10
Lattice="-5.2067 0.1344 -4.8996 -0.2730 -5.0390 -5.0662 -1.5184 -1.6667 6.7860" Properties=species:S:1:pos:R:3 pbc="T T T"
S -4.4038 -1.4736 -3.3435
S -5.2083 -2.3567 0.2520
S -1.6451 -1.5448 -0.7475
S -5.3529 -5.0265 -2.4323
S -1.7897 -4.2147 -3.4318
S -2.5942 -5.0977 0.1637
Bi -3.4990 -3.2857 -1.5899
Tc 0.0000 0.0000 0.0000
Ba -4.4893 -4.0952 -5.7779
Ba -2.5087 -2.4762 2.5980
```

Properties
ρ   4.97 g/cm3
Final energy   -51.50 eV for the cell shown
Calculated volume   25.85 A^3/atom